Record 1
{
  "formula": "ScTlI2N",
  "functional": "PBE-GGA",
  "state": "optimized geometry",
  "de_polymorph_mev_per_atom": 0.0,
  "lattice": [[6.1007, 0.0000, 0.0000], [0.0000, 6.1007, 0.0000], [0.0000, 0.0000, 4.0646]],
  "species": ["Sc", "Tl", "I", "I", "N"],
  "frac_coords": [[0.0000, 0.0000, 0.0000], [0.5000, 0.5000, 0.5000], [0.0000, 0.5000, 0.0000], [0.5000, 0.0000, 0.0000], [0.0000, 0.0000, 0.5000]]
}

Record 2
{
  "formula": "Li2YCd3",
  "functional": "PBE-GGA",
  "state": "optimized geometry",
  "de_polymorph_mev_per_atom": 0.0,
  "formation_energy_ev_per_atom": -0.276,
  "lattice": [[3.4483, 0.0000, 0.0000], [0.0000, 3.4483, 0.0000], [0.0000, 0.0000, 10.6229]],
  "species": ["Cd", "Cd", "Cd", "Li", "Li", "Y"],
  "frac_coords": [[0.0000, 0.0000, 0.0000], [0.0000, 0.0000, 0.7033], [0.0000, 0.0000, 0.2967], [0.5000, 0.5000, 0.8479], [0.5000, 0.5000, 0.1521], [0.5000, 0.5000, 0.5000]]
}

Record 3
{
  "formula": "Tm3Si8Rh3",
  "functional": "PBE-GGA",
  "state": "optimized geometry",
  "de_polymorph_mev_per_atom": 0.0,
  "lattice": [[-2.8306, 1.8886, 2.3503], [0.5745, -3.2279, 6.9241], [4.5145, 4.2908, 5.6275]],
  "species": ["Tm", "Tm", "Tm", "Si", "Si", "Si", "Si", "Si", "Si", "Si", "Si", "Rh", "Rh", "Rh"],
  "frac_coords": [[0.7018, 0.2462, 0.3503], [0.0000, 0.0000, 0.0000], [0.2982, 0.7538, 0.6497], [0.8862, 0.8511, 0.3765], [0.3622, 0.0226, 0.2530], [0.1138, 0.1489, 0.6235], [0.5170, 0.6765, 0.2896], [0.8646, 0.4300, 0.8408], [0.6378, 0.9774, 0.7470], [0.1354, 0.5700, 0.1592], [0.4830, 0.3235, 0.7104], [0.6779, 0.6599, 0.9843], [0.0000, 0.5000, 0.5000], [0.3221, 0.3401, 0.0157]]
}

Record 4
{
  "formula": "Pu3Zn5Ge2",
  "functional": "PBE-GGA",
  "state": "optimized geometry",
  "formation_energy_ev_per_atom": -0.145,
  "lattice": [[5.7927, 0.0000, 0.0000], [2.8964, 8.3578, -0.8128], [2.8964, 1.4343, 8.2738]],
  "species": ["Zn", "Zn", "Zn", "Zn", "Zn", "Zn", "Zn", "Zn", "Zn", "Zn", "Ge", "Ge", "Ge", "Ge", "Pu", "Pu", "Pu", "Pu", "Pu", "Pu"],
  "frac_coords": [[0.1245, 0.4965, 0.2546], [0.9976, 0.7524, 0.7524], [0.2500, 0.5000, 0.5000], [0.6245, 0.2546, 0.4965], [0.4976, 0.7524, 0.7524], [0.5024, 0.2476, 0.2476], [0.0024, 0.2476, 0.2476], [0.7500, 0.5000, 0.5000], [0.3755, 0.7454, 0.5035], [0.8755, 0.5035, 0.7454], [0.1371, 0.6988, 0.0270], [0.8629, 0.3012, 0.9730], [0.3629, 0.9730, 0.3012], [0.6371, 0.0270, 0.6988], [0.7500, 0.0000, 0.0000], [0.2500, 0.0000, 0.0000], [0.3773, 0.3821, 0.8632], [0.8773, 0.8632, 0.3821], [0.6227, 0.6179, 0.1368], [0.1227, 0.1368, 0.6179]]
}

Values for density of states at the Fermi level, states/eV per cell, ordered as above
1.91 3.60 5.09 65.17
Values for total DFT energy (no corrections), eV/cell, ordered as above
-22.31 -14.69 -88.52 -120.10